Record 1
Entry from the Alexandria database: crystalline HfPaZn2 at its relaxed geometry (PBE-GGA).

## Properties
Its total DFT energy (no corrections) is -87.54 eV for the cell shown. For the calculated formation energy, the calculation gives 0.03 eV/atom.

a = 6.8636 Å, b = 6.8636 Å, c = 6.8636 Å
α = 90.00°, β = 90.00°, γ = 90.00°
Space group Fm-3m (No. 225)
Asymmetric unit:
Hf  0.0000  0.0000  0.0000 [4 per cell]
Pa  0.0000  0.0000  0.5000 [4 per cell]
Zn  0.2500  0.2500  0.2500 [8 per cell]

Record 2
Entry from the Alexandria database: crystalline HfPa2Zn at its relaxed geometry (PBE-GGA).

## Properties
Its total DFT energy (no corrections) is -30.08 eV for the cell shown. For the calculated formation energy, the calculation gives 0.03 eV/atom.

a = 4.2588 Å, b = 4.2588 Å, c = 4.8306 Å
α = 90.00°, β = 90.00°, γ = 90.00°
Space group P4/mmm (No. 123)
Asymmetric unit:
Hf  0.0000  0.0000  0.0000 [1 per cell]
Pa  0.0000  0.5000  0.5000 [2 per cell]
Zn  0.5000  0.5000  0.0000 [1 per cell]

Record 3
Entry from the Alexandria database: crystalline Hf4PaZn5 at its relaxed geometry (PBE-GGA).

## Properties
Its total DFT energy (no corrections) is -57.06 eV for the cell shown. For the calculated formation energy, the calculation gives -0.14 eV/atom.

a = 3.0592 Å, b = 3.0592 Å, c = 19.8573 Å
α = 90.00°, β = 90.00°, γ = 90.00°
Space group P4/mmm (No. 123)
Asymmetric unit:
Hf  0.0000  0.0000  0.0974 [2 per cell]
Hf  0.0000  0.0000  0.2918 [2 per cell]
Pa  0.0000  0.0000  0.5000 [1 per cell]
Zn  0.5000  0.5000  0.0000 [1 per cell]
Zn  0.5000  0.5000  0.1949 [2 per cell]
Zn  0.5000  0.5000  0.3886 [2 per cell]